1.
DFT (PBE) results for a relaxed Mn2InFe crystal.

The structure in CIF format:
```
data_Mn2InFe
_cell_length_a 3.8939
_cell_length_b 3.8939
_cell_length_c 7.9519
_cell_angle_alpha 90.00
_cell_angle_beta 90.00
_cell_angle_gamma 90.00
_space_group_name_H-M_alt 'I -4 m 2'
_space_group_IT_number 119
_space_group_name_Hall 'I -4 -2'
loop_
_atom_site_label
_atom_site_type_symbol
_atom_site_fract_x
_atom_site_fract_y
_atom_site_fract_z
Mn1 Mn 0.0000 0.0000 0.0000
Mn2 Mn 0.0000 0.5000 0.2500
In1 In 0.0000 0.0000 0.5000
Fe1 Fe 0.0000 0.5000 0.7500
```

2.
DFT (PBE) results for a relaxed CeThScHg crystal.

The structure in CIF format:
```
data_CeThScHg
_cell_length_a 7.4089
_cell_length_b 7.4089
_cell_length_c 7.4089
_cell_angle_alpha 90.00
_cell_angle_beta 90.00
_cell_angle_gamma 90.00
_space_group_name_H-M_alt 'F -4 3 m'
_space_group_IT_number 216
_space_group_name_Hall 'F -4 2 3'
loop_
_atom_site_label
_atom_site_type_symbol
_atom_site_fract_x
_atom_site_fract_y
_atom_site_fract_z
Ce1 Ce 0.0000 0.0000 0.0000
Th1 Th 0.2500 0.2500 0.2500
Sc1 Sc 0.2500 0.2500 0.7500
Hg1 Hg 0.0000 0.0000 0.5000
```

3.
DFT (PBE) results for a relaxed La2Zn2Cu5Rh crystal.

The structure in CIF format:
```
data_La2Zn2Cu5Rh
_cell_length_a 10.1012
_cell_length_b 10.1012
_cell_length_c 3.4462
_cell_angle_alpha 90.00
_cell_angle_beta 90.00
_cell_angle_gamma 90.00
_space_group_name_H-M_alt 'P 4/m b m'
_space_group_IT_number 127
_space_group_name_Hall '-P 4 2ab'
loop_
_atom_site_label
_atom_site_type_symbol
_atom_site_fract_x
_atom_site_fract_y
_atom_site_fract_z
La1 La 0.1793 0.3207 0.0000
Zn1 Zn 0.1203 0.6203 0.0000
Cu1 Cu 0.0000 0.5000 0.5000
Cu2 Cu 0.0507 0.8115 0.5000
Rh1 Rh 0.0000 0.0000 0.0000
```

Going through the records in order, we get energy of formation from the pure elements values of 0.27 0.03 -0.05 eV per atom.
Going through the records in order, we get calculated volume values of 15.1 25.4 17.6 Å³/atom.
Going through the records in order, we get size of the total moment values of 9.1 0.4 0.0 μB per formula unit.